! Tb3Pm3Th2, relaxed, DFT PBE; values from VASP
! * E_tot: -5.33 eV/atom
! * polymorph energy (0 for the lowest one): 11 meV/atom
! * crystal system: triclinic
! * Fermi-level density of states: 11.73 states/eV/f.u.
! * SG: P-1, No. 2
! * energy of formation: 0.041 eV/atom
&SYSTEM
  ibrav = 0, nat = 8, ntyp = 3
/
ATOMIC_SPECIES
Tb 158.93 Tb.upf
Pm 145.00 Pm.upf
Th 232.04 Th.upf
CELL_PARAMETERS angstrom
6.224 0.000 0.000
-2.062 5.878 0.000
-2.072 -2.944 7.201
ATOMIC_POSITIONS crystal
Tb 0.000 0.000 0.000
Tb 0.128 0.628 0.256
Tb 0.872 0.372 0.744
Pm 0.369 0.870 0.740
Pm 0.500 0.500 0.000
Pm 0.631 0.130 0.260
Th 0.249 0.249 0.497
Th 0.751 0.751 0.503